Model w:
The following is a DFT calculation (GGA-PBE) of NbTc2Ni after structural relaxation.

```
NbTc2Ni
1.0
-1.858 1.858 9.169
1.858 -1.858 9.169
1.858 1.858 -9.169
Nb Tc Ni
2 4 2
direct
0.000 0.000 0.000 Nb
0.750 0.250 0.500 Nb
0.162 0.625 0.037 Tc
0.375 0.412 0.537 Tc
0.588 0.125 0.963 Tc
0.875 0.838 0.463 Tc
0.250 0.750 0.500 Ni
0.500 0.500 0.000 Ni
```

Results
Total magnetic moment (μB/cell): 0.000
Density of states at the Fermi level (states/eV per cell): 10.58


Model x:
The following is a DFT calculation (GGA-PBE) of NbTc2Ni after structural relaxation.

```
NbTc2Ni
1.0
0.000 3.087 3.087
3.087 0.000 3.087
3.087 3.087 0.000
Nb Tc Ni
1 2 1
direct
0.000 0.000 0.000 Nb
0.250 0.250 0.250 Tc
0.750 0.750 0.750 Tc
0.500 0.500 0.500 Ni
```

Results
Total magnetic moment (μB/cell): 0.000
Density of states at the Fermi level (states/eV per cell): 5.74


Stability verdict: model x, ahead by 34.7 kJ/mol of atoms